Compound: ZnHgTeN2
Source: the Alexandria database
Functional: PBE
Structure: optimized geometry

Unit cell a=4.1219 b=4.1219 c=6.1574 alpha=90.00 beta=90.00 gamma=90.00
Last column: nearest neighbours and their distance in Å.
Sites, in units of the cell vectors:
Zn 0.0000 0.0000 0.0000  4 N 2.06
Hg 0.5000 0.5000 0.5000  4 Te 2.91
Te 0.0000 0.0000 0.5000  4 Hg 2.91, 2 Zn 3.08
N 0.0000 0.5000 0.0000  2 Zn 2.06
N 0.5000 0.0000 0.0000  2 Zn 2.06

Values from the calculation:
- total magnetic moment (Bohr magnetons per cell) = 4.086
- raw formation energy (kcal/mol of atoms) = 32.1

Compound: ErTmNp2S4
Source: the Alexandria database
Functional: PBE
Structure: optimized geometry

Unit cell a=6.7264 b=3.8759 c=6.7298 alpha=90.00 beta=109.35 gamma=90.00
Last column: nearest neighbours and their distance in Å.
Sites, in units of the cell vectors:
Er 0.0000 0.0000 0.0000  6 S 2.73
Tm 0.5000 0.5000 0.0000  6 S 2.72
Np 0.0000 0.5000 0.5000  6 S 2.77
Np 0.5000 0.0000 0.5000  6 S 2.76
S 0.2492 0.5000 0.2451  1 Tm 2.72, 2 Er 2.73, 3 Np 2.76-2.77
S 0.2529 0.0000 0.7557  2 Tm 2.72, 1 Er 2.73, 3 Np 2.76-2.77
S 0.7471 0.0000 0.2443  2 Tm 2.72, 1 Er 2.73, 3 Np 2.76-2.77
S 0.7508 0.5000 0.7549  1 Tm 2.72, 2 Er 2.73, 3 Np 2.76-2.77

Values from the calculation:
- total magnetic moment (Bohr magnetons per cell) = 8.800
- raw formation energy (kcal/mol of atoms) = -38.6

Compound: Zn2BiCO
Source: the Alexandria database
Functional: PBE
Structure: optimized geometry

Unit cell a=3.9575 b=3.9575 c=5.2175 alpha=90.00 beta=90.00 gamma=90.00
Last column: nearest neighbours and their distance in Å.
Sites, in units of the cell vectors:
Zn 0.0000 0.5000 0.0000  2 O 1.98
Zn 0.5000 0.0000 0.0000  2 O 1.98
Bi 0.0000 0.0000 0.5000  4 C 2.80
C 0.5000 0.5000 0.5000  2 O 2.61, 4 Bi 2.80
O 0.5000 0.5000 0.0000  4 Zn 1.98

Values from the calculation:
- total magnetic moment (Bohr magnetons per cell) = 0.000
- raw formation energy (kcal/mol of atoms) = 18.0

Compound: HoCuPt
Source: the Alexandria database
Functional: PBE
Structure: optimized geometry

Unit cell a=4.3392 b=4.3392 c=3.5376 alpha=90.00 beta=90.00 gamma=120.00
Last column: nearest neighbours and their distance in Å.
Sites, in units of the cell vectors:
Ho 0.0000 0.0000 0.0000  6 Pt 3.07, 6 Cu 3.07
Cu 0.3333 0.6667 0.5000  3 Pt 2.51
Pt 0.6667 0.3333 0.5000  3 Cu 2.51

Values from the calculation:
- ΔE_f (eV/atom) = -0.779
- total magnetic moment (Bohr magnetons per cell) = 0.000

Compound: NdTiAl2
Source: the Alexandria database
Functional: PBE
Structure: optimized geometry

Unit cell a=3.4861 b=3.4861 c=6.8497 alpha=90.00 beta=90.00 gamma=90.00
Last column: nearest neighbours and their distance in Å.
Sites, in units of the cell vectors:
Nd 0.0000 0.0000 0.0000  8 Al 3.23, 2 Ti 3.42, 4 Nd 3.49
Ti 0.0000 0.0000 0.5000  8 Al 2.81
Al 0.5000 0.5000 0.3039  1 Al 2.69, 4 Ti 2.81
Al 0.5000 0.5000 0.6961  1 Al 2.69, 4 Ti 2.81

Values from the calculation:
- ΔE_f (eV/atom) = -0.273
- total magnetic moment (Bohr magnetons per cell) = 0.696

Compound: Cr4B
Source: the Alexandria database
Functional: PBE
Structure: optimized geometry

Unit cell a=7.9898 b=7.3875 c=4.2175 alpha=82.14 beta=66.34 gamma=31.53
Last column: nearest neighbours and their distance in Å.
Sites, in units of the cell vectors:
Cr 0.0846 0.0846 0.9154  2 B 2.14, 2 Cr 2.39
Cr 0.1643 0.1643 0.3357  2 B 2.18, 3 Cr 2.39-2.43
Cr 0.3301 0.6699 0.3301  2 B 2.17, 2 Cr 2.38
Cr 0.3357 0.3357 0.1643  2 B 2.18, 3 Cr 2.39-2.43
Cr 0.5945 0.9055 0.5945  2 B 2.17, 1 Cr 2.29
Cr 0.6699 0.3301 0.6699  2 B 2.17, 2 Cr 2.38
Cr 0.9055 0.5945 0.9055  2 B 2.17, 1 Cr 2.29
Cr 0.9154 0.9154 0.0846  2 B 2.14, 2 Cr 2.39
B 0.3751 0.3751 0.6249  8 Cr 2.14-2.18
B 0.6249 0.6249 0.3751  8 Cr 2.14-2.18

Values from the calculation:
- ΔE_f (eV/atom) = 0.057
- total magnetic moment (Bohr magnetons per cell) = 0.000

Compound: Sm2PaRu3
Source: the Alexandria database
Functional: PBE
Structure: optimized geometry

Unit cell a=6.4837 b=6.4837 c=6.4837 alpha=139.67 beta=129.04 gamma=66.91
Last column: nearest neighbours and their distance in Å.
Sites, in units of the cell vectors:
Sm 0.1701 0.1701 0.0000  6 Ru 2.82-3.11
Sm 0.8299 0.8299 0.0000  6 Ru 2.82-3.11
Pa 0.5000 0.5000 0.0000  6 Ru 2.64-2.79
Ru 0.0000 0.5000 0.5000  2 Pa 2.79, 4 Sm 2.90
Ru 0.3704 0.8704 0.5000  2 Pa 2.64, 1 Ru 2.81, 2 Sm 2.82
Ru 0.6296 0.1296 0.5000  2 Pa 2.64, 1 Ru 2.81, 2 Sm 2.82

Values from the calculation:
- ΔE_f (eV/atom) = -0.115
- total magnetic moment (Bohr magnetons per cell) = 0.000

Number 1: density of states at the Fermi level 0.496 states/eV per atom, E_tot -14.4 eV/f.u.. Number 2: density of states at the Fermi level 2.111 states/eV per atom, E_tot -64.8 eV/f.u.. Number 3: density of states at the Fermi level 0.460 states/eV per atom, E_tot -16.7 eV/f.u.. Number 4: density of states at the Fermi level 0.531 states/eV per atom, E_tot -17.1 eV/f.u.. Number 5: density of states at the Fermi level 0.519 states/eV per atom, E_tot -21.2 eV/f.u.. Number 6: density of states at the Fermi level 1.223 states/eV per atom, E_tot -44.9 eV/f.u.. Number 7: density of states at the Fermi level 0.756 states/eV per atom, E_tot -47.5 eV/f.u..